Crystalline YThReAg at its relaxed geometry, computed with GGA-PBE.

Unit cell a=5.0740 b=5.0740 c=5.0740 alpha=60.00 beta=60.00 gamma=60.00
Atoms (fractional coordinates):
Re1 0.5000 0.5000 0.5000
Th1 0.2500 0.2500 0.2500
Ag1 0.0000 0.0000 0.0000
Y1 0.7500 0.7500 0.7500

- energy relative to the elements (eV/atom) = -0.009